(w)
Computed, not measured: an optimized crystal structure of Co2IrOs2 at the PBE level of DFT.

- space-group type = P4/mbm (127)
- total magnetic moment (μB/f.u.) = 1.38

CIF file:
```
data_Co2IrOs2
_cell_length_a 6.949
_cell_length_b 6.949
_cell_length_c 2.702
_cell_angle_alpha 90.00
_cell_angle_beta 90.00
_cell_angle_gamma 90.00
_space_group_name_H-M_alt 'P 1'
_space_group_IT_number 1
loop_
_space_group_symop_operation_xyz
'x,y,z'
loop_
_atom_site_label
_atom_site_fract_x
_atom_site_fract_y
_atom_site_fract_z
Co1 0.120 0.380 0.000
Co2 0.380 0.880 0.000
Co3 0.620 0.120 0.000
Co4 0.880 0.620 0.000
Ir1 0.000 0.000 0.000
Ir2 0.500 0.500 0.000
Os1 0.175 0.675 0.500
Os2 0.325 0.175 0.500
Os3 0.675 0.825 0.500
Os4 0.825 0.325 0.500
```

---

(x)
Computed, not measured: an optimized crystal structure of Co2IrOs2 at the PBE level of DFT.

- space-group type = P4/mmm (123)
- total magnetic moment (μB/f.u.) = 5.74

CIF file:
```
data_Co2IrOs2
_cell_length_a 4.687
_cell_length_b 4.687
_cell_length_c 4.522
_cell_angle_alpha 90.00
_cell_angle_beta 90.00
_cell_angle_gamma 90.00
_space_group_name_H-M_alt 'P 1'
_space_group_IT_number 1
loop_
_space_group_symop_operation_xyz
'x,y,z'
loop_
_atom_site_label
_atom_site_fract_x
_atom_site_fract_y
_atom_site_fract_z
Co1 0.000 0.000 0.000
Co2 0.500 0.500 0.000
Ir1 0.000 0.000 0.500
Os1 0.000 0.500 0.500
Os2 0.500 0.000 0.500
```

---

If we sort the structures by their calculated energies, the order from most to least stable is (w), (x).

---

(w)
Computed, not measured: an optimized crystal structure of CoIr3Os at the PBE level of DFT.

- space-group type = Pm-3m (221)
- total magnetic moment (μB/f.u.) = 0.93

CIF file:
```
data_CoIr3Os
_cell_length_a 4.367
_cell_length_b 4.367
_cell_length_c 4.367
_cell_angle_alpha 90.00
_cell_angle_beta 90.00
_cell_angle_gamma 90.00
_space_group_name_H-M_alt 'P 1'
_space_group_IT_number 1
loop_
_space_group_symop_operation_xyz
'x,y,z'
loop_
_atom_site_label
_atom_site_fract_x
_atom_site_fract_y
_atom_site_fract_z
Co1 0.000 0.000 0.000
Ir1 0.000 0.000 0.500
Ir2 0.000 0.500 0.000
Ir3 0.500 0.000 0.000
Os1 0.500 0.500 0.500
```

---

(x)
Computed, not measured: an optimized crystal structure of CoIr3Os at the PBE level of DFT.

- space-group type = P2_1/m (11)
- total magnetic moment (μB/f.u.) = 1.15

CIF file:
```
data_CoIr3Os
_cell_length_a 6.006
_cell_length_b 3.812
_cell_length_c 6.047
_cell_angle_alpha 90.00
_cell_angle_beta 90.07
_cell_angle_gamma 90.00
_space_group_name_H-M_alt 'P 1'
_space_group_IT_number 1
loop_
_space_group_symop_operation_xyz
'x,y,z'
loop_
_atom_site_label
_atom_site_fract_x
_atom_site_fract_y
_atom_site_fract_z
Co1 0.054 0.250 0.352
Co2 0.946 0.750 0.648
Ir1 0.152 0.750 0.053
Ir2 0.247 0.250 0.750
Ir3 0.344 0.750 0.452
Ir4 0.656 0.250 0.548
Ir5 0.753 0.750 0.250
Ir6 0.848 0.250 0.947
Os1 0.451 0.250 0.148
Os2 0.549 0.750 0.852
```

---

(y)
Computed, not measured: an optimized crystal structure of CoIr3Os at the PBE level of DFT.

- space-group type = Cmcm (63)
- total magnetic moment (μB/f.u.) = 1.22

CIF file:
```
data_CoIr3Os
_cell_length_a 6.885
_cell_length_b 6.885
_cell_length_c 8.622
_cell_angle_alpha 90.00
_cell_angle_beta 90.00
_cell_angle_gamma 157.49
_space_group_name_H-M_alt 'P 1'
_space_group_IT_number 1
loop_
_space_group_symop_operation_xyz
'x,y,z'
loop_
_atom_site_label
_atom_site_fract_x
_atom_site_fract_y
_atom_site_fract_z
Co1 0.055 0.945 0.750
Co2 0.945 0.055 0.250
Ir1 0.164 0.836 0.000
Ir2 0.164 0.836 0.500
Ir3 0.404 0.596 0.750
Ir4 0.596 0.404 0.250
Ir5 0.836 0.164 0.000
Ir6 0.836 0.164 0.500
Os1 0.281 0.719 0.250
Os2 0.719 0.281 0.750
```

---

If we sort the structures by their calculated energies, the order from most to least stable is (x), (y), (w).

---

(w)
Computed, not measured: an optimized crystal structure of CoIrOs4 at the PBE level of DFT.

- space-group type = Pm (6)
- total magnetic moment (μB/f.u.) = 0.69

CIF file:
```
data_CoIrOs4
_cell_length_a 2.736
_cell_length_b 4.293
_cell_length_c 7.182
_cell_angle_alpha 90.00
_cell_angle_beta 100.90
_cell_angle_gamma 90.00
_space_group_name_H-M_alt 'P 1'
_space_group_IT_number 1
loop_
_space_group_symop_operation_xyz
'x,y,z'
loop_
_atom_site_label
_atom_site_fract_x
_atom_site_fract_y
_atom_site_fract_z
Co1 0.000 0.000 0.000
Ir1 0.219 0.500 0.441
Os1 0.334 0.000 0.669
Os2 0.550 0.500 0.102
Os3 0.663 0.000 0.326
Os4 0.891 0.500 0.786
```

---

(x)
Computed, not measured: an optimized crystal structure of CoIrOs4 at the PBE level of DFT.

- space-group type = F-43m (216)
- total magnetic moment (μB/f.u.) = 3.55

CIF file:
```
data_CoIrOs4
_cell_length_a 5.082
_cell_length_b 5.082
_cell_length_c 5.082
_cell_angle_alpha 60.00
_cell_angle_beta 60.00
_cell_angle_gamma 60.00
_space_group_name_H-M_alt 'P 1'
_space_group_IT_number 1
loop_
_space_group_symop_operation_xyz
'x,y,z'
loop_
_atom_site_label
_atom_site_fract_x
_atom_site_fract_y
_atom_site_fract_z
Co1 0.000 0.000 0.000
Ir1 0.750 0.750 0.750
Os1 0.375 0.375 0.375
Os2 0.375 0.375 0.875
Os3 0.375 0.875 0.375
Os4 0.875 0.375 0.375
```

---

If we sort the structures by their calculated energies, the order from most to least stable is (w), (x).